{
  "formula": "PrY3Cl",
  "functional": "PBE-GGA",
  "state": "relaxed",
  "cell": [[5.343, 0.000, 0.000], [0.000, 5.343, 0.000], [0.000, 0.000, 5.343]],
  "species": ["Pr", "Y", "Y", "Y", "Cl"],
  "fractional_positions": [[0.000, 0.000, 0.000], [0.000, 0.500, 0.500], [0.500, 0.000, 0.500], [0.500, 0.500, 0.000], [0.500, 0.500, 0.500]],
  "crystal_system": "cubic",
  "raw_formation_energy_kcal_per_mol_atoms": -10.8
}